# LaNdHoIn (PBE-GGA, optimized geometry)
# DFT total energy = -4.417 eV/atom
# V = 497.1 Å³ per cell
# ΔH_f (0 K) = -0.7 eV/f.u.
data_LaNdHoIn
_chemical_formula_sum 'La4 Nd4 Ho4 In4'
_cell_length_a 7.922
_cell_length_b 7.922
_cell_length_c 7.922
_cell_angle_alpha 90.00
_cell_angle_beta 90.00
_cell_angle_gamma 90.00
_space_group_name_H-M_alt 'F -4 3 m'
_space_group_IT_number 216
_space_group_name_Hall 'F -4 2 3'
loop_
_atom_site_label
_atom_site_type_symbol
_atom_site_fract_x
_atom_site_fract_y
_atom_site_fract_z
La1 La 0.000 0.000 0.000
Nd1 Nd 0.000 0.000 0.500
Ho1 Ho 0.250 0.250 0.750
In1 In 0.250 0.250 0.250

---

# La2Nd6Ho3In (PBE-GGA, optimized geometry)
# DFT total energy = -4.639 eV/atom
# V = 793.1 Å³ per cell
# ΔH_f (0 K) = -0.7 eV/f.u.
data_La2Nd6Ho3In
_chemical_formula_sum 'La4 Nd12 Ho6 In2'
_cell_length_a 6.227
_cell_length_b 10.799
_cell_length_c 11.978
_cell_angle_alpha 90.00
_cell_angle_beta 100.02
_cell_angle_gamma 90.00
_space_group_name_H-M_alt 'C 1 2/m 1'
_space_group_IT_number 12
loop_
_space_group_symop_operation_xyz
'x,y,z'
'-x,-y,-z'
'-x,y,-z'
'x,-y,z'
'x+1/2,y+1/2,z'
'-x+1/2,-y+1/2,-z'
'-x+1/2,y+1/2,-z'
'x+1/2,-y+1/2,z'
loop_
_atom_site_label
_atom_site_type_symbol
_atom_site_fract_x
_atom_site_fract_y
_atom_site_fract_z
La1 La 0.000 0.166 0.000
Nd1 Nd 0.240 0.500 0.747
Nd2 Nd 0.246 0.338 0.253
Ho1 Ho 0.000 0.000 0.500
Ho2 Ho 0.000 0.333 0.500
In1 In 0.000 0.500 0.000

---

# La3Nd6Ho2In (PBE-GGA, optimized geometry)
# DFT total energy = -4.638 eV/atom
# V = 806.6 Å³ per cell
# ΔH_f (0 K) = -0.4 eV/f.u.
data_La3Nd6Ho2In
_chemical_formula_sum 'La6 Nd12 Ho4 In2'
_cell_length_a 6.283
_cell_length_b 10.933
_cell_length_c 11.940
_cell_angle_alpha 90.00
_cell_angle_beta 100.45
_cell_angle_gamma 90.00
_space_group_name_H-M_alt 'C 1 2/m 1'
_space_group_IT_number 12
loop_
_space_group_symop_operation_xyz
'x,y,z'
'-x,-y,-z'
'-x,y,-z'
'x,-y,z'
'x+1/2,y+1/2,z'
'-x+1/2,-y+1/2,-z'
'-x+1/2,y+1/2,-z'
'x+1/2,-y+1/2,z'
loop_
_atom_site_label
_atom_site_type_symbol
_atom_site_fract_x
_atom_site_fract_y
_atom_site_fract_z
La1 La 0.000 0.000 0.000
La2 La 0.000 0.329 0.000
Nd1 Nd 0.241 0.337 0.740
Nd2 Nd 0.246 0.500 0.257
Ho1 Ho 0.000 0.166 0.500
In1 In 0.000 0.500 0.500

---

# La2HoInO6 (PBE-GGA, optimized geometry)
# DFT total energy = -7.699 eV/atom
# Energy relative to the elements, uncorrected = -3007 meV/atom
# V = 298.1 Å³ per cell
data_La2HoInO6
_chemical_formula_sum 'La4 Ho2 In2 O12'
_cell_length_a 5.828
_cell_length_b 6.041
_cell_length_c 10.237
_cell_angle_alpha 90.00
_cell_angle_beta 124.20
_cell_angle_gamma 90.00
_space_group_name_H-M_alt 'P 1 21/c 1'
_space_group_IT_number 14
loop_
_space_group_symop_operation_xyz
'x,y,z'
'-x,-y,-z'
'-x,y+1/2,-z+1/2'
'x,-y+1/2,z+1/2'
loop_
_atom_site_label
_atom_site_type_symbol
_atom_site_fract_x
_atom_site_fract_y
_atom_site_fract_z
La1 La 0.232 0.051 0.249
Ho1 Ho 0.500 0.000 0.000
In1 In 0.000 0.000 0.500
O1 O 0.126 0.198 0.935
O2 O 0.234 0.696 0.933
O3 O 0.373 0.055 0.748

---

# LaHoInPb (PBE-GGA, optimized geometry)
# DFT total energy = -4.442 eV/atom
# V = 472.8 Å³ per cell
# ΔH_f (0 K) = -1.8 eV/f.u.
data_LaHoInPb
_chemical_formula_sum 'La4 Ho4 In4 Pb4'
_cell_length_a 7.790
_cell_length_b 7.790
_cell_length_c 7.790
_cell_angle_alpha 90.00
_cell_angle_beta 90.00
_cell_angle_gamma 90.00
_space_group_name_H-M_alt 'F -4 3 m'
_space_group_IT_number 216
_space_group_name_Hall 'F -4 2 3'
loop_
_atom_site_label
_atom_site_type_symbol
_atom_site_fract_x
_atom_site_fract_y
_atom_site_fract_z
La1 La 0.000 0.000 0.000
Ho1 Ho 0.000 0.000 0.500
In1 In 0.250 0.250 0.750
Pb1 Pb 0.250 0.250 0.250

---

# LaHoInPb (PBE-GGA, optimized geometry)
# DFT total energy = -4.472 eV/atom
# V = 232.7 Å³ per cell
# ΔH_f (0 K) = -1.9 eV/f.u.
data_LaHoInPb
_chemical_formula_sum 'La2 Ho2 In2 Pb2'
_cell_length_a 5.087
_cell_length_b 5.087
_cell_length_c 8.990
_cell_angle_alpha 90.00
_cell_angle_beta 90.00
_cell_angle_gamma 90.00
_space_group_name_H-M_alt 'I -4 m 2'
_space_group_IT_number 119
_space_group_name_Hall 'I -4 -2'
loop_
_atom_site_label
_atom_site_type_symbol
_atom_site_fract_x
_atom_site_fract_y
_atom_site_fract_z
La1 La 0.000 0.000 0.000
Ho1 Ho 0.000 0.000 0.500
In1 In 0.000 0.500 0.250
Pb1 Pb 0.000 0.500 0.750

---

# LaHoInPd (PBE-GGA, optimized geometry)
# DFT total energy = -4.914 eV/atom
# V = 418.4 Å³ per cell
# ΔH_f (0 K) = -2.2 eV/f.u.
data_LaHoInPd
_chemical_formula_sum 'La4 Ho4 In4 Pd4'
_cell_length_a 7.479
_cell_length_b 7.479
_cell_length_c 7.479
_cell_angle_alpha 90.00
_cell_angle_beta 90.00
_cell_angle_gamma 90.00
_space_group_name_H-M_alt 'F -4 3 m'
_space_group_IT_number 216
_space_group_name_Hall 'F -4 2 3'
loop_
_atom_site_label
_atom_site_type_symbol
_atom_site_fract_x
_atom_site_fract_y
_atom_site_fract_z
La1 La 0.000 0.000 0.000
Ho1 Ho 0.000 0.000 0.500
In1 In 0.250 0.250 0.750
Pd1 Pd 0.250 0.250 0.250

---

# LaPm2HoIn4 (PBE-GGA, optimized geometry)
# DFT total energy = -4.226 eV/atom
# V = 685.7 Å³ per cell
# ΔH_f (0 K) = -3.8 eV/f.u.
data_LaPm2HoIn4
_chemical_formula_sum 'La3 Pm6 Ho3 In12'
_cell_length_a 5.4381
_cell_length_b 5.4381
_cell_length_c 26.7744
_cell_angle_alpha 90.00
_cell_angle_beta 90.00
_cell_angle_gamma 120.00
_space_group_name_H-M_alt 'R -3 m'
_space_group_IT_number 166
_space_group_name_Hall '-R 3 2"'
loop_
_atom_site_label
_atom_site_type_symbol
_atom_site_fract_x
_atom_site_fract_y
_atom_site_fract_z
La1 La 0.0000 0.0000 0.0000
Pm1 Pm 0.0000 0.0000 0.2492
Ho1 Ho 0.0000 0.0000 0.5000
In1 In 0.0000 0.0000 0.1270
In2 In 0.0000 0.0000 0.3773

---

# LaPrHo2In4 (PBE-GGA, optimized geometry)
# DFT total energy = -4.203 eV/atom
# V = 679.7 Å³ per cell
# ΔH_f (0 K) = -3.8 eV/f.u.
data_LaPrHo2In4
_chemical_formula_sum 'La3 Pr3 Ho6 In12'
_cell_length_a 5.4266
_cell_length_b 5.4266
_cell_length_c 26.6518
_cell_angle_alpha 90.00
_cell_angle_beta 90.00
_cell_angle_gamma 120.00
_space_group_name_H-M_alt 'R -3 m'
_space_group_IT_number 166
_space_group_name_Hall '-R 3 2"'
loop_
_atom_site_label
_atom_site_type_symbol
_atom_site_fract_x
_atom_site_fract_y
_atom_site_fract_z
La1 La 0.0000 0.0000 0.0000
Pr1 Pr 0.0000 0.0000 0.5000
Ho1 Ho 0.0000 0.0000 0.2501
In1 In 0.0000 0.0000 0.1256
In2 In 0.0000 0.0000 0.3756

---

# La3Pr6Ho2In (PBE-GGA, optimized geometry)
# DFT total energy = -4.643 eV/atom
# V = 818.3 Å³ per cell
# ΔH_f (0 K) = -0.4 eV/f.u.
data_La3Pr6Ho2In
_chemical_formula_sum 'La6 Pr12 Ho4 In2'
_cell_length_a 6.309
_cell_length_b 10.993
_cell_length_c 12.001
_cell_angle_alpha 90.00
_cell_angle_beta 100.53
_cell_angle_gamma 90.00
_space_group_name_H-M_alt 'C 1 2/m 1'
_space_group_IT_number 12
loop_
_space_group_symop_operation_xyz
'x,y,z'
'-x,-y,-z'
'-x,y,-z'
'x,-y,z'
'x+1/2,y+1/2,z'
'-x+1/2,-y+1/2,-z'
'-x+1/2,y+1/2,-z'
'x+1/2,-y+1/2,z'
loop_
_atom_site_label
_atom_site_type_symbol
_atom_site_fract_x
_atom_site_fract_y
_atom_site_fract_z
La1 La 0.000 0.000 0.000
La2 La 0.000 0.328 0.000
Pr1 Pr 0.241 0.337 0.740
Pr2 Pr 0.246 0.500 0.257
Ho1 Ho 0.000 0.166 0.500
In1 In 0.000 0.500 0.500

---

# LaHoPuIn (PBE-GGA, optimized geometry)
# DFT total energy = -6.659 eV/atom
# V = 477.4 Å³ per cell
# ΔH_f (0 K) = -0.1 eV/f.u.
data_LaHoPuIn
_chemical_formula_sum 'La4 Ho4 Pu4 In4'
_cell_length_a 7.816
_cell_length_b 7.816
_cell_length_c 7.816
_cell_angle_alpha 90.00
_cell_angle_beta 90.00
_cell_angle_gamma 90.00
_space_group_name_H-M_alt 'F -4 3 m'
_space_group_IT_number 216
_space_group_name_Hall 'F -4 2 3'
loop_
_atom_site_label
_atom_site_type_symbol
_atom_site_fract_x
_atom_site_fract_y
_atom_site_fract_z
La1 La 0.000 0.000 0.000
Ho1 Ho 0.250 0.250 0.250
Pu1 Pu 0.000 0.000 0.500
In1 In 0.250 0.250 0.750

---

# LaHoInRu (PBE-GGA, optimized geometry)
# DFT total energy = -5.632 eV/atom
# V = 393.9 Å³ per cell
# ΔH_f (0 K) = -1.0 eV/f.u.
data_LaHoInRu
_chemical_formula_sum 'La4 Ho4 In4 Ru4'
_cell_length_a 7.331
_cell_length_b 7.331
_cell_length_c 7.331
_cell_angle_alpha 90.00
_cell_angle_beta 90.00
_cell_angle_gamma 90.00
_space_group_name_H-M_alt 'F -4 3 m'
_space_group_IT_number 216
_space_group_name_Hall 'F -4 2 3'
loop_
_atom_site_label
_atom_site_type_symbol
_atom_site_fract_x
_atom_site_fract_y
_atom_site_fract_z
La1 La 0.000 0.000 0.000
Ho1 Ho 0.000 0.000 0.500
In1 In 0.250 0.250 0.250
Ru1 Ru 0.250 0.250 0.750